Here is PmLuPuSc after structural relaxation from Alexandria via LeMat-Bulk. Energies are from GGA-PBE.

Results
**DFT total energy**: -7.309 eV per atom

```
data_PmLuPuSc
_chemical_formula_sum 'Pm4 Lu4 Pu4 Sc4'
_cell_length_a 7.7267
_cell_length_b 7.7267
_cell_length_c 7.7267
_cell_angle_alpha 90.00
_cell_angle_beta 90.00
_cell_angle_gamma 90.00
_space_group_name_H-M_alt 'F -4 3 m'
_space_group_IT_number 216
_space_group_name_Hall 'F -4 2 3'
loop_
_atom_site_label
_atom_site_type_symbol
_atom_site_fract_x
_atom_site_fract_y
_atom_site_fract_z
_atom_site_occupancy
Pm1 Pm 0.0000 0.0000 0.0000 1
Lu1 Lu 0.2500 0.2500 0.7500 1
Pu1 Pu 0.0000 0.0000 0.5000 1
Sc1 Sc 0.2500 0.2500 0.2500 1
```